Entry 1:
This record from Alexandria via LeMat-Bulk describes crystalline Zr2WCl at its relaxed geometry. The functional is PBE-GGA.

Structure (extended XYZ):
```
4
Lattice="3.259 -3.661 0.000 3.259 3.661 0.000 0.000 0.000 3.226" Properties=species:S:1:pos:R:3 pbc="T T T"
Zr 1.630 1.831 0.000
Zr 1.630 -1.831 0.000
W 0.000 0.000 1.613
Cl 3.259 0.000 1.613
```

Results
- Crystal system: orthorhombic
- Raw total energy: -31.4 eV for the cell shown
- Spin magnetization: 0.0 μB per formula unit
- Energy relative to the lowest polymorph listed for this composition: 0.5708 eV/atom
- Density of states at the Fermi level: 0.8872 states/eV/atom



Entry 2:
This record from Alexandria via LeMat-Bulk describes crystalline Zr2WCl at its relaxed geometry. The functional is PBE-GGA.

Structure (extended XYZ):
```
4
Lattice="3.663 -3.757 0.000 3.663 3.757 0.000 -0.908 0.000 2.871" Properties=species:S:1:pos:R:3 pbc="T T T"
Zr 1.832 1.878 0.000
Zr 1.832 -1.878 0.000
W -0.454 0.000 1.436
Cl 3.209 0.000 1.436
```

Results
- Crystal system: monoclinic
- Raw total energy: -31.6 eV for the cell shown
- Spin magnetization: 0.0 μB per formula unit
- Energy relative to the lowest polymorph listed for this composition: 0.5139 eV/atom
- Density of states at the Fermi level: 1.0153 states/eV/atom



Entry 3:
This record from Alexandria via LeMat-Bulk describes crystalline Zr2WCl at its relaxed geometry. The functional is PBE-GGA.

Structure (extended XYZ):
```
4
Lattice="3.254 0.000 0.000 0.000 3.388 0.000 0.000 0.000 7.848" Properties=species:S:1:pos:R:3 pbc="T T T"
Zr 0.000 0.000 1.632
Zr 0.000 0.000 6.216
W 1.627 1.694 0.000
Cl 1.627 0.000 3.924
```

Results
- Crystal system: orthorhombic
- Raw total energy: -33.7 eV for the cell shown
- Spin magnetization: 0.0 μB per formula unit
- Energy relative to the lowest polymorph listed for this composition: 0.0000 eV/atom
- Density of states at the Fermi level: 0.6743 states/eV/atom



Entry 4:
This record from Alexandria via LeMat-Bulk describes crystalline Zr2WCl at its relaxed geometry. The functional is PBE-GGA.

Structure (extended XYZ):
```
4
Lattice="1.664 0.961 8.431 -1.664 0.961 8.431 0.000 -1.921 8.431" Properties=species:S:1:pos:R:3 pbc="T T T"
Zr 0.000 0.000 6.216
Zr 0.000 0.000 19.076
W 0.000 0.000 12.646
Cl 0.000 0.000 0.000
```

Results
- Crystal system: trigonal
- Raw total energy: -32.9 eV for the cell shown
- Spin magnetization: 0.0 μB per formula unit
- Energy relative to the lowest polymorph listed for this composition: 0.1965 eV/atom
- Density of states at the Fermi level: 0.5323 states/eV/atom



Entry 5:
This record from Alexandria via LeMat-Bulk describes crystalline ZrWCl at its relaxed geometry. The functional is PBE-GGA.

Structure (extended XYZ):
```
3
Lattice="0.000 2.470 7.891 1.707 0.000 7.891 1.707 2.470 0.000" Properties=species:S:1:pos:R:3 pbc="T T T"
Zr 0.000 0.000 0.000
W 1.707 2.470 5.743
Cl 1.707 2.470 9.873
```

Results
- Crystal system: orthorhombic
- Raw total energy: -23.1 eV for the cell shown
- Spin magnetization: 0.0 μB per formula unit
- Energy relative to the lowest polymorph listed for this composition: 0.0000 eV/atom
- Density of states at the Fermi level: 0.9786 states/eV/atom



Entry 6:
This record from Alexandria via LeMat-Bulk describes crystalline Zr2WCl at its relaxed geometry. The functional is PBE-GGA.

Structure (extended XYZ):
```
4
Lattice="-1.570 2.278 5.504 1.570 -2.278 5.504 1.570 2.278 -5.504" Properties=species:S:1:pos:R:3 pbc="T T T"
Zr 0.000 0.000 0.000
Zr 0.000 2.278 2.664
W 0.000 0.000 5.404
Cl 1.570 0.000 2.273
```

Results
- Crystal system: orthorhombic
- Raw total energy: -31.0 eV for the cell shown
- Spin magnetization: 0.0 μB per formula unit
- Energy relative to the lowest polymorph listed for this composition: 0.6685 eV/atom
- Density of states at the Fermi level: 1.0131 states/eV/atom



Calculated formation energy without anion corrections (eV per atom), listed in the same order as above: 0.131, 0.075, -0.439, -0.243, 0.094, 0.229